(1)
Tb2Pm9Sc | PBE | relaxed

Output
Energy of formation from the pure elements ... 0.3 eV per formula unit
Crystal system ... tetragonal
DOS(E_F) ... 1.62 states/eV per atom

Cell and atoms, written as POSCAR:
```
Tb2Pm9Sc
1.0
5.095 0.000 0.000
0.000 5.095 0.000
0.000 0.000 15.287
Tb Pm Sc
2 9 1
Direct
0.000 0.000 0.169
0.000 0.000 0.831
0.000 0.500 0.000
0.000 0.500 0.338
0.000 0.500 0.662
0.500 0.000 0.000
0.500 0.000 0.338
0.500 0.000 0.662
0.500 0.500 0.169
0.500 0.500 0.500
0.500 0.500 0.831
0.000 0.000 0.500
```

(2)
Tb6Pm3Sc | PBE | relaxed

Output
Energy of formation from the pure elements ... 1.4 eV per formula unit
Excess energy over the best structure of this formula in the dataset ... 0.000 eV per atom
Crystal system ... orthorhombic
DOS(E_F) ... 1.38 states/eV per atom

Cell and atoms, written as POSCAR:
```
Tb6Pm3Sc
1.0
5.451 -9.473 0.000
5.451 9.473 0.000
0.000 0.000 6.279
Tb Pm Sc
12 6 2
Direct
0.045 0.955 0.500
0.047 0.467 0.966
0.276 0.724 0.241
0.289 0.379 0.149
0.379 0.289 0.649
0.467 0.047 0.466
0.533 0.953 0.966
0.621 0.711 0.149
0.711 0.621 0.649
0.724 0.276 0.741
0.953 0.533 0.466
0.955 0.045 0.000
0.055 0.282 0.556
0.282 0.055 0.056
0.387 0.613 0.671
0.613 0.387 0.171
0.718 0.945 0.556
0.945 0.718 0.056
0.201 0.799 0.725
0.799 0.201 0.225
```

(3)
Tb5Pm2Sc2 | PBE | relaxed

Output
Energy of formation from the pure elements ... 2.1 eV per formula unit
Excess energy over the best structure of this formula in the dataset ... 0.190 eV per atom
Crystal system ... orthorhombic
DOS(E_F) ... 1.48 states/eV per atom

Cell and atoms, written as POSCAR:
```
Tb5Pm2Sc2
1.0
8.216 -4.262 0.000
8.216 4.262 0.000
0.000 0.000 8.103
Tb Pm Sc
10 4 4
Direct
0.000 0.000 0.000
0.051 0.685 0.681
0.185 0.551 0.181
0.315 0.949 0.681
0.449 0.815 0.181
0.500 0.500 0.500
0.551 0.185 0.819
0.685 0.051 0.319
0.815 0.449 0.819
0.949 0.315 0.319
0.215 0.215 0.000
0.285 0.285 0.500
0.715 0.715 0.500
0.785 0.785 0.000
0.124 0.876 0.376
0.376 0.624 0.876
0.624 0.376 0.124
0.876 0.124 0.624
```

(4)
Tb5Pm2Sc12 | PBE | relaxed

Output
Energy of formation from the pure elements ... 2.7 eV per formula unit
Crystal system ... monoclinic
DOS(E_F) ... 1.51 states/eV per atom

Cell and atoms, written as POSCAR:
```
Tb5Pm2Sc12
1.0
7.459 -4.331 0.000
7.459 4.331 0.000
-0.400 0.000 8.186
Tb Pm Sc
5 2 12
Direct
0.000 0.000 0.000
0.235 0.235 0.077
0.294 0.294 0.492
0.706 0.706 0.508
0.765 0.765 0.923
0.312 0.688 0.500
0.688 0.312 0.500
0.026 0.671 0.250
0.085 0.085 0.378
0.184 0.560 0.844
0.329 0.974 0.750
0.440 0.816 0.156
0.447 0.447 0.165
0.553 0.553 0.835
0.560 0.184 0.844
0.671 0.026 0.250
0.816 0.440 0.156
0.915 0.915 0.622
0.974 0.329 0.750
```

(5)
Tb4Pm4Sc | PBE | relaxed

Output
Energy of formation from the pure elements ... 0.3 eV per formula unit
Excess energy over the best structure of this formula in the dataset ... 0.000 eV per atom
Crystal system ... tetragonal
DOS(E_F) ... 1.61 states/eV per atom

Cell and atoms, written as POSCAR:
```
Tb4Pm4Sc
1.0
-5.356 5.356 2.524
5.356 -5.356 2.524
5.356 5.356 -2.524
Tb Pm Sc
4 4 1
Direct
0.164 0.164 0.328
0.164 0.836 0.000
0.836 0.164 0.000
0.836 0.836 0.672
0.170 0.500 0.670
0.500 0.170 0.670
0.500 0.830 0.330
0.830 0.500 0.330
0.500 0.500 0.000
```

(6)
Tb5Pm2Sc | PBE | relaxed

Output
Energy of formation from the pure elements ... 0.2 eV per formula unit
Excess energy over the best structure of this formula in the dataset ... 0.000 eV per atom
Crystal system ... orthorhombic
DOS(E_F) ... 1.41 states/eV per atom

Cell and atoms, written as POSCAR:
```
Tb5Pm2Sc
1.0
7.097 0.000 0.000
0.000 14.208 0.000
0.000 0.000 5.001
Tb Pm Sc
10 4 2
Direct
0.000 0.000 0.000
0.002 0.252 0.000
0.249 0.876 0.500
0.251 0.376 0.500
0.498 0.752 0.000
0.500 0.500 0.000
0.502 0.248 0.000
0.749 0.624 0.500
0.751 0.124 0.500
0.998 0.748 0.000
0.247 0.623 0.500
0.253 0.123 0.500
0.747 0.877 0.500
0.753 0.377 0.500
0.000 0.500 0.000
0.500 0.000 0.000
```

(7)
Tb3Pm4Sc | PBE | relaxed

Output
Energy of formation from the pure elements ... 0.3 eV per formula unit
Excess energy over the best structure of this formula in the dataset ... 0.000 eV per atom
Crystal system ... orthorhombic
DOS(E_F) ... 1.81 states/eV per atom

Cell and atoms, written as POSCAR:
```
Tb3Pm4Sc
1.0
11.439 0.000 0.000
0.000 7.262 0.000
0.000 0.000 6.261
Tb Pm Sc
6 8 2
Direct
0.000 0.122 0.000
0.250 0.120 0.329
0.250 0.880 0.829
0.500 0.878 0.500
0.750 0.120 0.329
0.750 0.880 0.829
0.000 0.370 0.506
0.000 0.628 0.989
0.243 0.630 0.337
0.257 0.370 0.837
0.500 0.372 0.489
0.500 0.630 0.006
0.743 0.370 0.837
0.757 0.630 0.337
0.000 0.882 0.497
0.500 0.118 0.997
```

(8)
Tb4PmSc2 | PBE | relaxed

Output
Energy of formation from the pure elements ... 5.2 eV per formula unit
Excess energy over the best structure of this formula in the dataset ... 0.537 eV per atom
Crystal system ... tetragonal
DOS(E_F) ... 1.41 states/eV per atom

Cell and atoms, written as POSCAR:
```
Tb4PmSc2
1.0
5.583 0.000 0.000
0.000 5.583 0.000
0.000 0.000 15.795
Tb Pm Sc
8 2 4
Direct
0.000 0.000 0.189
0.000 0.000 0.811
0.000 0.500 0.000
0.000 0.500 0.500
0.500 0.000 0.000
0.500 0.000 0.500
0.500 0.500 0.311
0.500 0.500 0.689
0.000 0.000 0.000
0.500 0.500 0.500
0.000 0.000 0.395
0.000 0.000 0.605
0.500 0.500 0.105
0.500 0.500 0.895
```

| no. | density (Mg/m³) |
| --- | --- |
| 1 | 6.98 |
| 2 | 7.34 |
| 3 | 6.87 |
| 4 | 5.10 |
| 5 | 7.23 |
| 6 | 7.44 |
| 7 | 7.04 |
| 8 | 5.87 |